1.
First-principles (PBEsol) data for an optimized crystal structure of YTi2Fe, as listed in Alexandria via LeMat-Bulk.

a = 6.378 Å, b = 6.378 Å, c = 6.378 Å
α = 90.00°, β = 90.00°, γ = 90.00°
Space group Fm-3m (No. 225)
Asymmetric unit:
Y 0.000 0.000 0.000 x4
Ti 0.250 0.250 0.250 x8
Fe 0.000 0.000 0.500 x4

Properties
spin magnetization = 0.00 μB per formula unit

2.
First-principles (PBEsol) data for an optimized crystal structure of ZrTiZn2Fe, as listed in Alexandria via LeMat-Bulk.

a = 4.694 Å, b = 4.694 Å, c = 3.978 Å
α = 90.00°, β = 90.00°, γ = 90.00°
Space group P4/mmm (No. 123)
Asymmetric unit:
Zr 0.000 0.000 0.000 x1
Ti 0.500 0.500 0.500 x1
Zn 0.000 0.500 0.500 x2
Fe 0.500 0.500 0.000 x1

Properties
spin magnetization = 0.27 μB per formula unit

3.
First-principles (PBEsol) data for an optimized crystal structure of TlFe3, as listed in Alexandria via LeMat-Bulk.

a = 2.9190 Å, b = 2.9190 Å, c = 7.9477 Å
α = 90.00°, β = 90.00°, γ = 120.00°
Space group P-6m2 (No. 187)
Asymmetric unit:
Tl 0.0000 0.0000 0.0000 x1
Fe 0.0000 0.0000 0.5000 x1
Fe 0.6667 0.3333 0.2876 x2

Properties
spin magnetization = 7.44 μB per formula unit

4.
First-principles (PBEsol) data for an optimized crystal structure of TlFe, as listed in Alexandria via LeMat-Bulk.

a = 6.575 Å, b = 6.575 Å, c = 6.575 Å
α = 90.00°, β = 90.00°, γ = 90.00°
Space group Fd-3m (No. 227, origin choice 2)
Asymmetric unit:
Tl 0.125 0.125 0.125 x8
Fe 0.125 0.125 0.625 x8

Properties
spin magnetization = 2.57 μB per formula unit

5.
First-principles (PBEsol) data for an optimized crystal structure of Tl2Fe2W, as listed in Alexandria via LeMat-Bulk.

a = 3.814 Å, b = 3.814 Å, c = 12.394 Å
α = 90.00°, β = 90.00°, γ = 90.00°
Space group I4/mmm (No. 139)
Asymmetric unit:
Tl 0.000 0.500 0.250 x4
Fe 0.000 0.000 0.085 x4
W 0.000 0.000 0.500 x2

Properties
spin magnetization = 2.87 μB per formula unit

6.
First-principles (PBEsol) data for an optimized crystal structure of TlFeW2, as listed in Alexandria via LeMat-Bulk.

a = 4.007 Å, b = 4.007 Å, c = 7.839 Å
α = 90.00°, β = 90.00°, γ = 90.00°
Space group I-4m2 (No. 119)
Asymmetric unit:
Tl 0.000 0.000 0.000 x2
Fe 0.000 0.500 0.750 x2
W 0.000 0.000 0.500 x2
W 0.000 0.500 0.250 x2

Properties
spin magnetization = 2.10 μB per formula unit
distance to the lowest polymorph of the same formula = 0.48 eV per formula unit

Looking at E_tot for the records above, in order, we have -7.798 -5.275 -6.773 -4.947 -6.057 -9.053 eV per atom.